# 1
Material: Sn2HgAs
Method: DFT, PBE-GGA
State: relaxed

Values from the calculation:
Crystal system = cubic

Geometry as POSCAR:
```
Sn2HgAs
1.0
0.3870 -0.6084 5.1217
2.2783 3.6480 2.8728
-2.8359 2.9376 3.1748
As Hg Sn
1 1 2
direct
0.5000 0.5000 0.5000 As
0.2500 0.2500 0.2500 Hg
0.0000 0.0000 0.0000 Sn
0.7500 0.7500 0.7500 Sn
```

=====

# 2
Material: CdSn2AsP
Method: DFT, PBE-GGA
State: relaxed

Values from the calculation:
Crystal system = orthorhombic

Geometry as POSCAR:
```
CdSn2AsP
1.0
2.1747 -8.1173 0.0000
2.1747 8.1173 0.0000
0.0000 0.0000 7.0913
As Cd P Sn
2 2 2 4
direct
0.9285 0.0715 0.4695 As
0.0715 0.9285 0.9695 As
0.9027 0.0973 0.0772 Cd
0.0973 0.9027 0.5772 Cd
0.6852 0.3148 0.4743 P
0.3148 0.6852 0.9743 P
0.5490 0.4510 0.2397 Sn
0.3006 0.6994 0.3737 Sn
0.4510 0.5490 0.7397 Sn
0.6994 0.3006 0.8737 Sn
```

=====

# 3
Material: SrCdNiS3
Method: DFT, PBE-GGA
State: relaxed

Values from the calculation:
Crystal system = orthorhombic
Size of the total moment = 4.00 μB/cell

Geometry as POSCAR:
```
SrCdNiS3
1.0
-5.1386 2.2365 4.0519
4.0028 -5.3335 -1.8320
6.3673 2.4741 6.7094
Cd Ni S Sr
2 2 6 2
direct
0.0173 0.9827 0.2500 Cd
0.9827 0.0173 0.7500 Cd
0.5000 0.5000 0.0000 Ni
0.5000 0.5000 0.5000 Ni
0.1279 0.8721 0.0407 S
0.4063 0.5937 0.2500 S
0.1279 0.8721 0.4594 S
0.8721 0.1279 0.5407 S
0.5937 0.4063 0.7500 S
0.8721 0.1279 0.9593 S
0.7378 0.2622 0.2500 Sr
0.2622 0.7378 0.7500 Sr
```

=====

# 4
Material: Gd2NiAu
Method: DFT, PBE-GGA
State: relaxed

Values from the calculation:
Crystal system = orthorhombic
Size of the total moment = 0.00 μB/cell
DFT formation energy = -0.631 eV per atom

Geometry as POSCAR:
```
Gd2NiAu
1.0
4.5133 0.0000 0.0000
0.0000 5.5896 0.0000
0.0000 0.0000 7.2092
Au Gd Ni
2 4 2
direct
0.0000 0.3857 0.0375 Au
0.0000 0.6143 0.5375 Au
0.0000 0.8896 0.1823 Gd
0.5000 0.3716 0.3209 Gd
0.0000 0.1104 0.6823 Gd
0.5000 0.6284 0.8209 Gd
0.5000 0.8882 0.4592 Ni
0.5000 0.1118 0.9592 Ni
```

=====

# 5
Material: HoTlPd
Method: DFT, PBE-GGA
State: relaxed

Values from the calculation:
Crystal system = cubic
Size of the total moment = 0.14 μB/cell

Geometry as POSCAR:
```
HoTlPd
1.0
0.0000 3.3513 3.3513
3.3513 0.0000 3.3513
3.3513 3.3513 0.0000
Ho Pd Tl
1 1 1
direct
0.2500 0.2500 0.2500 Ho
0.0000 0.0000 0.0000 Pd
0.7500 0.7500 0.7500 Tl
```

=====

# 6
Material: NdTlBiTe3
Method: DFT, PBE-GGA
State: relaxed

Values from the calculation:
Crystal system = orthorhombic
Size of the total moment = 0.01 μB/cell

Geometry as POSCAR:
```
NdTlBiTe3
1.0
6.8825 0.8979 4.1946
-7.4401 2.7886 -1.6245
-4.4710 -6.8066 8.7931
Bi Nd Te Tl
2 2 6 2
direct
0.4551 0.5449 0.2500 Bi
0.5449 0.4551 0.7500 Bi
0.0000 0.0000 0.0000 Nd
0.0000 0.0000 0.5000 Nd
0.3563 0.6437 0.0310 Te
0.0993 0.9007 0.2500 Te
0.3563 0.6437 0.4690 Te
0.6437 0.3563 0.5310 Te
0.9007 0.0993 0.7500 Te
0.6437 0.3563 0.9690 Te
0.7664 0.2336 0.2500 Tl
0.2336 0.7664 0.7500 Tl
```

=====

Calculated density readings, ordered: 8.7; 6.0; 4.7; 10.4; 10.5; 7.4 Mg/m³
Uncorrected energy readings, ordered: -3.029; -3.721; -4.119; -5.167; -4.562; -4.012 eV per atom